# GGA-PBE TeSO3, optimized geometry
data_TeSO3
_chemical_formula_sum 'Te1 S1 O3'
_cell_length_a 3.889
_cell_length_b 3.889
_cell_length_c 3.889
_cell_angle_alpha 90.00
_cell_angle_beta 90.00
_cell_angle_gamma 90.00
_space_group_name_H-M_alt 'P 1'
_space_group_IT_number 1
_space_group_name_Hall 'P 1'
loop_
_atom_site_label
_atom_site_fract_x
_atom_site_fract_y
_atom_site_fract_z
S1 0.000 0.000 0.000
Te1 0.500 0.500 0.500
O1 0.000 0.500 0.000
O2 0.000 0.000 0.500
O3 0.500 0.000 0.000
# - Energy relative to the elements, uncorrected: 257 meV/atom
# - Symmetry: No. 221
# - Energy: -0.30662 Ry/atom
# - Crystal system: cubic



# GGA-PBE TeS2O, optimized geometry
data_TeS2O
_chemical_formula_sum 'Te1 S2 O1'
_cell_length_a 7.467
_cell_length_b 7.467
_cell_length_c 7.467
_cell_angle_alpha 29.03
_cell_angle_beta 29.03
_cell_angle_gamma 29.03
_space_group_name_H-M_alt 'P 1'
_space_group_IT_number 1
_space_group_name_Hall 'P 1'
loop_
_atom_site_label
_atom_site_fract_x
_atom_site_fract_y
_atom_site_fract_z
S1 0.919 0.919 0.919
S2 0.081 0.081 0.081
Te1 0.500 0.500 0.500
O1 0.000 0.000 0.000
# - ΔE to the lowest computed polymorph: 0 meV per atom
# - Energy relative to the elements, uncorrected: 243 meV/atom
# - Symmetry: No. 166
# - Energy: -0.28268 Ry/atom
# - Crystal system: trigonal



# GGA-PBE TeS2O, optimized geometry
data_TeS2O
_chemical_formula_sum 'Te2 S4 O2'
_cell_length_a 5.433
_cell_length_b 5.433
_cell_length_c 6.684
_cell_angle_alpha 66.02
_cell_angle_beta 66.02
_cell_angle_gamma 90.00
_space_group_name_H-M_alt 'P 1'
_space_group_IT_number 1
_space_group_name_Hall 'P 1'
loop_
_atom_site_label
_atom_site_fract_x
_atom_site_fract_y
_atom_site_fract_z
S1 0.438 0.125 0.250
S2 0.312 0.625 0.250
S3 0.375 0.562 0.750
S4 0.875 0.688 0.750
Te1 0.000 0.000 0.000
Te2 0.750 0.250 0.500
O1 0.500 0.500 0.000
O2 0.250 0.750 0.500
# - ΔE to the lowest computed polymorph: 347 meV per atom
# - Energy relative to the elements, uncorrected: 590 meV/atom
# - Symmetry: No. 122
# - Energy: -0.25718 Ry/atom
# - Crystal system: tetragonal



# GGA-PBE TeSO3, optimized geometry
data_TeSO3
_chemical_formula_sum 'Te1 S1 O3'
_cell_length_a 4.042
_cell_length_b 4.042
_cell_length_c 4.042
_cell_angle_alpha 90.00
_cell_angle_beta 90.00
_cell_angle_gamma 90.00
_space_group_name_H-M_alt 'P 1'
_space_group_IT_number 1
_space_group_name_Hall 'P 1'
loop_
_atom_site_label
_atom_site_fract_x
_atom_site_fract_y
_atom_site_fract_z
S1 0.500 0.500 0.500
Te1 0.000 0.000 0.000
O1 0.000 0.500 0.000
O2 0.000 0.000 0.500
O3 0.500 0.000 0.000
# - Energy relative to the elements, uncorrected: 129 meV/atom
# - Symmetry: No. 221
# - Energy: -0.31606 Ry/atom
# - Crystal system: cubic



# GGA-PBE TeS2O, optimized geometry
data_TeS2O
_chemical_formula_sum 'Te1 S2 O1'
_cell_length_a 4.490
_cell_length_b 4.490
_cell_length_c 4.490
_cell_angle_alpha 60.00
_cell_angle_beta 60.00
_cell_angle_gamma 60.00
_space_group_name_H-M_alt 'P 1'
_space_group_IT_number 1
_space_group_name_Hall 'P 1'
loop_
_atom_site_label
_atom_site_fract_x
_atom_site_fract_y
_atom_site_fract_z
S1 0.250 0.250 0.250
S2 0.750 0.750 0.750
Te1 0.500 0.500 0.500
O1 0.000 0.000 0.000
# - ΔE to the lowest computed polymorph: 527 meV per atom
# - Energy relative to the elements, uncorrected: 770 meV/atom
# - Symmetry: No. 225
# - Energy: -0.24392 Ry/atom
# - Crystal system: cubic



# GGA-PBE TeSO2, optimized geometry
data_TeSO2
_chemical_formula_sum 'Te2 S2 O4'
_cell_length_a 6.494
_cell_length_b 6.494
_cell_length_c 6.520
_cell_angle_alpha 60.13
_cell_angle_beta 60.13
_cell_angle_gamma 90.00
_space_group_name_H-M_alt 'P 1'
_space_group_IT_number 1
_space_group_name_Hall 'P 1'
loop_
_atom_site_label
_atom_site_fract_x
_atom_site_fract_y
_atom_site_fract_z
S1 0.500 0.500 0.000
S2 0.250 0.750 0.500
Te1 0.000 0.000 0.000
Te2 0.750 0.250 0.500
O1 0.877 0.125 0.250
O2 0.873 0.625 0.250
O3 0.375 0.123 0.750
O4 0.875 0.127 0.750
# - ΔE to the lowest computed polymorph: 135 meV per atom
# - Energy relative to the elements, uncorrected: 165 meV/atom
# - Symmetry: No. 122
# - Energy: -0.30367 Ry/atom
# - Crystal system: tetragonal



# GGA-PBE TeSO6, optimized geometry
data_TeSO6
_chemical_formula_sum 'Te1 S1 O6'
_cell_length_a 5.433
_cell_length_b 5.433
_cell_length_c 4.501
_cell_angle_alpha 95.96
_cell_angle_beta 95.96
_cell_angle_gamma 130.96
_space_group_name_H-M_alt 'P 1'
_space_group_IT_number 1
_space_group_name_Hall 'P 1'
loop_
_atom_site_label
_atom_site_fract_x
_atom_site_fract_y
_atom_site_fract_z
Te1 0.000 0.000 0.000
S1 0.500 0.500 0.500
O1 0.266 0.266 0.727
O2 0.405 0.158 0.277
O3 0.734 0.734 0.273
O4 0.842 0.595 0.723
O5 0.595 0.842 0.723
O6 0.158 0.405 0.277
# - Energy relative to the elements, uncorrected: -421 meV/atom
# - Symmetry: No. 12
# - Energy: -0.37102 Ry/atom
# - Crystal system: monoclinic



# GGA-PBE TeSO2, optimized geometry
data_TeSO2
_chemical_formula_sum 'Te1 S1 O2'
_cell_length_a 4.172
_cell_length_b 4.172
_cell_length_c 4.172
_cell_angle_alpha 60.00
_cell_angle_beta 60.00
_cell_angle_gamma 60.00
_space_group_name_H-M_alt 'P 1'
_space_group_IT_number 1
_space_group_name_Hall 'P 1'
loop_
_atom_site_label
_atom_site_fract_x
_atom_site_fract_y
_atom_site_fract_z
S1 0.000 0.000 0.000
Te1 0.500 0.500 0.500
O1 0.250 0.250 0.250
O2 0.750 0.750 0.750
# - ΔE to the lowest computed polymorph: 540 meV per atom
# - Energy relative to the elements, uncorrected: 570 meV/atom
# - Symmetry: No. 225
# - Energy: -0.27388 Ry/atom
# - Crystal system: cubic



# GGA-PBE Te2SO6, optimized geometry
data_Te2SO6
_chemical_formula_sum 'Te4 S2 O12'
_cell_length_a 5.684
_cell_length_b 9.404
_cell_length_c 8.876
_cell_angle_alpha 55.47
_cell_angle_beta 73.44
_cell_angle_gamma 74.84
_space_group_name_H-M_alt 'P 1'
_space_group_IT_number 1
_space_group_name_Hall 'P 1'
loop_
_atom_site_label
_atom_site_fract_x
_atom_site_fract_y
_atom_site_fract_z
Te1 0.695 0.342 0.120
Te2 0.808 0.875 0.666
Te3 0.305 0.658 0.880
Te4 0.192 0.125 0.334
S1 0.289 0.672 0.322
S2 0.711 0.328 0.678
O1 0.934 0.324 0.268
O2 0.566 0.747 0.664
O3 0.066 0.676 0.732
O4 0.434 0.253 0.336
O5 0.108 0.025 0.594
O6 0.396 0.421 0.954
O7 0.892 0.975 0.406
O8 0.604 0.579 0.046
O9 0.917 0.309 0.756
O10 0.589 0.175 0.761
O11 0.083 0.691 0.244
O12 0.411 0.825 0.239
# - Energy relative to the elements, uncorrected: -978 meV/atom
# - Symmetry: No. 2
# - Energy: -0.39988 Ry/atom
# - Crystal system: triclinic



# GGA-PBE TeSO2, optimized geometry
data_TeSO2
_chemical_formula_sum 'Te1 S1 O2'
_cell_length_a 6.558
_cell_length_b 6.558
_cell_length_c 6.558
_cell_angle_alpha 29.73
_cell_angle_beta 29.73
_cell_angle_gamma 29.73
_space_group_name_H-M_alt 'P 1'
_space_group_IT_number 1
_space_group_name_Hall 'P 1'
loop_
_atom_site_label
_atom_site_fract_x
_atom_site_fract_y
_atom_site_fract_z
S1 0.500 0.500 0.500
Te1 0.000 0.000 0.000
O1 0.882 0.882 0.882
O2 0.118 0.118 0.118
# - ΔE to the lowest computed polymorph: 233 meV per atom
# - Energy relative to the elements, uncorrected: 263 meV/atom
# - Symmetry: No. 166
# - Energy: -0.29647 Ry/atom
# - Crystal system: trigonal



# GGA-PBE TeSO2, optimized geometry
data_TeSO2
_chemical_formula_sum 'Te1 S1 O2'
_cell_length_a 7.642
_cell_length_b 7.642
_cell_length_c 7.642
_cell_angle_alpha 23.30
_cell_angle_beta 23.30
_cell_angle_gamma 23.30
_space_group_name_H-M_alt 'P 1'
_space_group_IT_number 1
_space_group_name_Hall 'P 1'
loop_
_atom_site_label
_atom_site_fract_x
_atom_site_fract_y
_atom_site_fract_z
S1 0.000 0.000 0.000
Te1 0.500 0.500 0.500
O1 0.929 0.929 0.929
O2 0.071 0.071 0.071
# - ΔE to the lowest computed polymorph: 0 meV per atom
# - Energy relative to the elements, uncorrected: 30 meV/atom
# - Symmetry: No. 166
# - Energy: -0.31357 Ry/atom
# - Crystal system: trigonal



# GGA-PBE Th4S6O, optimized geometry
data_Th4S6O
_chemical_formula_sum 'Th4 S6 O1'
_cell_length_a 3.854
_cell_length_b 8.546
_cell_length_c 8.546
_cell_angle_alpha 120.00
_cell_angle_beta 90.00
_cell_angle_gamma 90.00
_space_group_name_H-M_alt 'P 1'
_space_group_IT_number 1
_space_group_name_Hall 'P 1'
loop_
_atom_site_label
_atom_site_fract_x
_atom_site_fract_y
_atom_site_fract_z
Th1 0.500 0.833 0.665
Th2 0.500 0.335 0.167
Th3 0.500 0.833 0.167
Th4 0.000 0.333 0.667
S1 0.000 0.540 0.079
S2 0.500 0.607 0.803
S3 0.000 0.540 0.460
S4 0.000 0.921 0.460
S5 0.500 0.197 0.803
S6 0.500 0.197 0.393
O1 0.000 0.000 0.000
# - Energy relative to the elements, uncorrected: -1868 meV/atom
# - Symmetry: No. 187
# - Energy: -0.53418 Ry/atom
# - Crystal system: hexagonal